# 1
LaTa2Pt | PBE | optimized geometry

```
data_LaTa2Pt
_space_group_name_H-M_alt 'R -3 m'
_space_group_IT_number 166
_space_group_name_Hall '-R 3 2"'
_cell_length_a 3.0447
_cell_length_b 3.0447
_cell_length_c 30.6135
_cell_angle_alpha 90.00
_cell_angle_beta 90.00
_cell_angle_gamma 120.00
loop_
_atom_site_label
_atom_site_type_symbol
_atom_site_fract_x
_atom_site_fract_y
_atom_site_fract_z
La1 La 0.0000 0.0000 0.0000
Ta1 Ta 0.0000 0.0000 0.2382
Pt1 Pt 0.0000 0.0000 0.5000
```

As for the energy: -8.41 eV/atom. The value obtained for the offset from the most stable computed form is 0.417 eV per atom. As for the energy relative to the elements: 0.255 eV/atom.

# 2
Ca2EuH6 | PBE | optimized geometry

```
data_Ca2EuH6
_space_group_name_H-M_alt 'F m -3 m'
_space_group_IT_number 225
_space_group_name_Hall '-F 4 2 3'
_cell_length_a 8.027
_cell_length_b 8.027
_cell_length_c 8.027
_cell_angle_alpha 90.00
_cell_angle_beta 90.00
_cell_angle_gamma 90.00
loop_
_atom_site_label
_atom_site_type_symbol
_atom_site_fract_x
_atom_site_fract_y
_atom_site_fract_z
Ca1 Ca 0.250 0.250 0.250
Eu1 Eu 0.000 0.000 0.000
H1 H 0.000 0.000 0.274
```

As for the energy: -3.85 eV/atom.

# 3
Fe6NiIr5 | PBE | optimized geometry

```
data_Fe6NiIr5
_space_group_name_H-M_alt 'I m m m'
_space_group_IT_number 71
_space_group_name_Hall '-I 2 2'
_cell_length_a 3.747
_cell_length_b 7.307
_cell_length_c 11.249
_cell_angle_alpha 90.00
_cell_angle_beta 90.00
_cell_angle_gamma 90.00
loop_
_atom_site_label
_atom_site_type_symbol
_atom_site_fract_x
_atom_site_fract_y
_atom_site_fract_z
Fe1 Fe 0.000 0.247 0.000
Fe2 Fe 0.000 0.252 0.335
Ni1 Ni 0.000 0.500 0.500
Ir1 Ir 0.000 0.000 0.161
Ir2 Ir 0.000 0.000 0.500
Ir3 Ir 0.000 0.500 0.169
```

As for the energy: -8.44 eV/atom. As for the energy relative to the elements: -0.035 eV/atom.

# 4
NbH2Au | PBE | optimized geometry

```
data_NbH2Au
_space_group_name_H-M_alt 'I -4 2 d'
_space_group_IT_number 122
_space_group_name_Hall 'I -4 2bw'
_cell_length_a 4.349
_cell_length_b 4.349
_cell_length_c 9.324
_cell_angle_alpha 90.00
_cell_angle_beta 90.00
_cell_angle_gamma 90.00
loop_
_atom_site_label
_atom_site_type_symbol
_atom_site_fract_x
_atom_site_fract_y
_atom_site_fract_z
Nb1 Nb 0.000 0.000 0.000
H1 H 0.222 0.250 0.125
Au1 Au 0.000 0.000 0.500
```

As for the energy: -4.85 eV/atom. The value obtained for the offset from the most stable computed form is 0.191 eV per atom.

# 5
Al3Fe | PBE | optimized geometry

```
data_Al3Fe
_space_group_name_H-M_alt 'P m m 2'
_space_group_IT_number 25
_space_group_name_Hall 'P 2 -2'
_cell_length_a 2.781
_cell_length_b 4.313
_cell_length_c 4.603
_cell_angle_alpha 90.00
_cell_angle_beta 90.00
_cell_angle_gamma 90.00
loop_
_atom_site_label
_atom_site_type_symbol
_atom_site_fract_x
_atom_site_fract_y
_atom_site_fract_z
Al1 Al 0.000 0.000 0.000
Al2 Al 0.000 0.500 0.341
Al3 Al 0.500 0.000 0.516
Fe1 Fe 0.500 0.500 0.830
```

As for the energy: -5.05 eV/atom. As for the energy relative to the elements: -0.131 eV/atom.

# 6
K3Cu | PBE | optimized geometry

```
data_K3Cu
_space_group_name_H-M_alt 'P 1 21/m 1'
_space_group_IT_number 11
_space_group_name_Hall '-P 2yb'
_cell_length_a 4.772
_cell_length_b 10.941
_cell_length_c 7.921
_cell_angle_alpha 90.00
_cell_angle_beta 107.42
_cell_angle_gamma 90.00
loop_
_atom_site_label
_atom_site_type_symbol
_atom_site_fract_x
_atom_site_fract_y
_atom_site_fract_z
K1 K 0.079 0.250 0.157
K2 K 0.350 0.067 0.701
Cu1 Cu 0.256 0.750 0.513
```

As for the energy: -1.62 eV/atom. As for the energy relative to the elements: 0.230 eV/atom.

Please write out number 3 again, unchanged.
Fe6NiIr5 | PBE | optimized geometry

```
data_Fe6NiIr5
_space_group_name_H-M_alt 'I m m m'
_space_group_IT_number 71
_space_group_name_Hall '-I 2 2'
_cell_length_a 3.747
_cell_length_b 7.307
_cell_length_c 11.249
_cell_angle_alpha 90.00
_cell_angle_beta 90.00
_cell_angle_gamma 90.00
loop_
_atom_site_label
_atom_site_type_symbol
_atom_site_fract_x
_atom_site_fract_y
_atom_site_fract_z
Fe1 Fe 0.000 0.247 0.000
Fe2 Fe 0.000 0.252 0.335
Ni1 Ni 0.000 0.500 0.500
Ir1 Ir 0.000 0.000 0.161
Ir2 Ir 0.000 0.000 0.500
Ir3 Ir 0.000 0.500 0.169
```

As for the energy: -8.44 eV/atom. As for the energy relative to the elements: -0.035 eV/atom.

> What is the energy in the second record?

-3.85 eV/atom

> Among the records above, which one has the lowest energy?

Fe6NiIr5

Please write out number 3 again, unchanged.
Fe6NiIr5 | PBE | optimized geometry

```
data_Fe6NiIr5
_space_group_name_H-M_alt 'I m m m'
_space_group_IT_number 71
_space_group_name_Hall '-I 2 2'
_cell_length_a 3.747
_cell_length_b 7.307
_cell_length_c 11.249
_cell_angle_alpha 90.00
_cell_angle_beta 90.00
_cell_angle_gamma 90.00
loop_
_atom_site_label
_atom_site_type_symbol
_atom_site_fract_x
_atom_site_fract_y
_atom_site_fract_z
Fe1 Fe 0.000 0.247 0.000
Fe2 Fe 0.000 0.252 0.335
Ni1 Ni 0.000 0.500 0.500
Ir1 Ir 0.000 0.000 0.161
Ir2 Ir 0.000 0.000 0.500
Ir3 Ir 0.000 0.500 0.169
```

As for the energy: -8.44 eV/atom. As for the energy relative to the elements: -0.035 eV/atom.